Record 1
Sc2SnWI | PBE | relaxed

Cell: 5.279 5.279 5.060 Å, 90.00 90.00 90.00°
Atoms (fractional coordinates):
Sc (0.000, 0.500, 0.000)
Sc (0.500, 0.000, 0.000)
Sn (0.000, 0.000, 0.500)
W (0.500, 0.500, 0.000)
I (0.500, 0.500, 0.500)

Results
formation energy without anion corrections	731	meV/atom
calculated volume	28.2	Å³/atom
D(E_F)	0.90	states/eV per atom
space group	P4/mmm

***

Record 2
SrLa2InSi | PBE | relaxed

Cell: 6.329 6.329 5.809 Å, 90.00 90.00 90.00°
Atoms (fractional coordinates):
Sr (0.000, 0.000, 0.000)
La (0.000, 0.500, 0.500)
La (0.500, 0.000, 0.500)
In (0.500, 0.500, 0.000)
Si (0.500, 0.500, 0.500)

Results
formation energy without anion corrections	115	meV/atom
calculated volume	46.5	Å³/atom
D(E_F)	1.21	states/eV per atom
space group	P4/mmm

***

Record 3
ZrHgMo2 | PBE | relaxed

Cell: 5.370 5.370 2.787 Å, 90.00 90.00 114.00°
Atoms (fractional coordinates):
Zr (0.000, 0.000, 0.000)
Hg (0.500, 0.500, 0.000)
Mo (0.000, 0.500, 0.500)
Mo (0.500, 0.000, 0.500)

Results
calculated volume	18.4	Å³/atom
calculated formation energy	0.402	eV/atom
D(E_F)	0.60	states/eV per atom
space group	Cmmm

***

For reference, total energy by record: -5.50; -3.82; -7.23 eV per atom.